No. 1
The following is a DFT calculation (PBE) of Fe5Te3 after structural relaxation.

## Properties
crystal system: orthorhombic
space group: Cmmm, No. 65

abc: 5.752 5.752 4.177
angles: 90.00 90.00 112.15
Element x y z (fractional)
Fe: 0.000 0.000 0.000
Fe: 0.000 0.500 0.000
Fe: 0.245 0.245 0.500
Fe: 0.500 0.000 0.000
Fe: 0.755 0.755 0.500
Te: 0.206 0.794 0.500
Te: 0.500 0.500 0.000
Te: 0.794 0.206 0.500


No. 2
The following is a DFT calculation (PBE) of Ca4SbAuN after structural relaxation.

## Properties
crystal system: orthorhombic
space group: Cmcm, No. 63

abc: 8.519 8.519 6.861
angles: 90.00 90.00 133.31
Element x y z (fractional)
Ca: 0.000 0.500 0.000
Ca: 0.000 0.500 0.500
Ca: 0.091 0.909 0.750
Ca: 0.408 0.592 0.750
Ca: 0.500 0.000 0.000
Ca: 0.500 0.000 0.500
Ca: 0.592 0.408 0.250
Ca: 0.909 0.091 0.250
Sb: 0.110 0.890 0.250
Sb: 0.890 0.110 0.750
Au: 0.391 0.609 0.250
Au: 0.609 0.391 0.750
N: 0.248 0.752 0.750
N: 0.752 0.248 0.250


No. 3
The following is a DFT calculation (PBE) of NaPdN2 after structural relaxation.

## Properties
crystal system: triclinic
space group: P-1, No. 2

abc: 2.900 4.575 10.889
angles: 94.99 96.89 90.01
Element x y z (fractional)
Na: 0.103 0.196 0.228
Na: 0.897 0.804 0.772
Pd: 0.000 0.500 0.000
Pd: 0.500 0.000 0.000
N: 0.344 0.152 0.654
N: 0.345 0.401 0.656
N: 0.655 0.599 0.344
N: 0.656 0.848 0.346


No. 4
The following is a DFT calculation (PBE) of NaB2PbF8 after structural relaxation.

## Properties
crystal system: trigonal
space group: P-3m1, No. 164

abc: 5.310 5.310 8.194
angles: 90.00 90.00 120.00
Element x y z (fractional)
Na: 0.000 0.000 0.000
B: 0.333 0.667 0.758
B: 0.667 0.333 0.242
Pb: 0.000 0.000 0.500
F: 0.188 0.376 0.814
F: 0.188 0.812 0.814
F: 0.333 0.667 0.584
F: 0.376 0.188 0.186
F: 0.624 0.812 0.814
F: 0.667 0.333 0.416
F: 0.812 0.188 0.186
F: 0.812 0.624 0.186


Quick rundown of uncorrected formation energy, same order as above: 358, -864, 12, -2612 meV/atom
Quick rundown of mass density, same order as above: 8.59, 4.52, 3.66, 3.35 g cm⁻³